No. 1
Computed, not measured: a geometry-optimized TaZn2Fe structure at the GGA-PBE level of DFT.

The structure in POSCAR format:
```
TaZn2Fe
1.0
1.826 -2.053 0.000
1.826 2.053 0.000
0.000 0.000 7.830
Ta Zn Fe
1 2 1
Cartesian
0.000 0.000 0.000
0.000 0.000 4.069
1.826 0.000 2.118
1.826 0.000 5.835
```

## Properties
Symmetry ... Cmm2

***

No. 2
Computed, not measured: a geometry-optimized Ta2ZnFe structure at the GGA-PBE level of DFT.

The structure in POSCAR format:
```
Ta2ZnFe
1.0
2.969 0.000 0.000
0.000 4.227 0.000
-1.086 0.000 4.891
Ta Zn Fe
2 1 1
Cartesian
0.000 0.000 0.000
0.045 2.113 3.110
1.506 2.113 0.879
1.360 0.000 2.504
```

## Properties
Symmetry ... Pm

***

No. 3
Computed, not measured: a geometry-optimized TaZn2Fe structure at the GGA-PBE level of DFT.

The structure in POSCAR format:
```
TaZn2Fe
1.0
2.678 0.000 0.000
0.000 4.330 0.000
-1.212 0.000 4.977
Ta Zn Fe
1 2 1
Cartesian
0.000 0.000 0.000
0.006 2.165 3.647
1.461 2.165 1.330
0.733 0.000 2.489
```

## Properties
Symmetry ... P2/m

***

No. 4
Computed, not measured: a geometry-optimized TaZnFe2 structure at the GGA-PBE level of DFT.

The structure in POSCAR format:
```
TaZnFe2
1.0
2.930 0.000 0.000
0.000 2.930 0.000
0.000 0.000 6.416
Ta Zn Fe
1 1 2
Cartesian
0.000 0.000 0.000
1.465 1.465 1.945
0.000 0.000 3.437
1.465 1.465 4.721
```

## Properties
Symmetry ... P4mm

***

No. 5
Computed, not measured: a geometry-optimized Ta2ZnFe structure at the GGA-PBE level of DFT.

The structure in POSCAR format:
```
Ta2ZnFe
1.0
-2.036 2.036 3.709
2.036 -2.036 3.709
2.036 2.036 -3.709
Ta Zn Fe
2 1 1
Cartesian
2.036 0.000 1.855
0.000 2.036 1.855
0.000 0.000 0.000
0.000 0.000 3.709
```

## Properties
Symmetry ... I4/mmm

***

No. 6
Computed, not measured: a geometry-optimized Ta2ZnFe structure at the GGA-PBE level of DFT.

The structure in POSCAR format:
```
Ta2ZnFe
1.0
1.496 0.864 8.375
-1.496 0.864 8.375
0.000 -1.727 8.375
Ta Zn Fe
2 1 1
Cartesian
0.000 0.000 0.000
0.000 0.000 6.021
0.000 0.000 12.136
0.000 0.000 18.579
```

## Properties
Symmetry ... R3m

***

No. 7
Computed, not measured: a geometry-optimized Ta2ZnFe structure at the GGA-PBE level of DFT.

The structure in POSCAR format:
```
Ta2ZnFe
1.0
-1.520 2.235 4.536
1.520 -2.235 4.536
1.520 2.235 -4.536
Ta Zn Fe
2 1 1
Cartesian
0.000 0.000 0.000
0.000 2.235 2.098
1.520 0.000 2.536
0.000 0.000 4.595
```

## Properties
Symmetry ... Imm2

***

No. 8
Computed, not measured: a geometry-optimized TaZn2Fe structure at the GGA-PBE level of DFT.

The structure in POSCAR format:
```
TaZn2Fe
1.0
-3.478 3.478 2.563
3.478 -3.478 2.563
3.478 3.478 -2.563
Ta Zn Fe
2 4 2
Cartesian
0.000 0.000 0.000
0.000 3.478 1.282
1.739 -1.552 1.922
1.926 1.739 0.641
1.739 5.030 -0.641
1.552 1.739 3.204
3.478 0.000 1.282
0.000 0.000 2.563
```

## Properties
Symmetry ... I-42d

***

no.,calculated formation energy (eV/f.u.)
1,0.246
2,0.220
3,0.351
4,0.107
5,0.254
6,0.888
7,0.211
8,1.867